[1]
{
  "formula": "MnSn3P4O16",
  "functional": "PBEsol",
  "state": "optimized geometry",
  "spacegroup": "No. 6",
  "density_g_cm3": 4.16,
  "e_tot_ev_per_atom": -7.29,
  "raw_formation_energy_kj_per_mol_fu": -4372,
  "lattice_angstrom": [[5.0473, 0.0000, 0.0000], [0.0000, 6.0740, 0.0000], [-0.1294, 0.0000, 10.2935]],
  "species": ["Mn", "Sn", "Sn", "Sn", "P", "P", "P", "P", "O", "O", "O", "O", "O", "O", "O", "O", "O", "O", "O", "O", "O", "O", "O", "O"],
  "frac_coords": [[0.0000, 0.0000, 0.0000], [0.3566, 0.0000, 0.4862], [0.4993, 0.5000, 0.0609], [0.8653, 0.5000, 0.5554], [0.0630, 0.5000, 0.8868], [0.3351, 0.5000, 0.3501], [0.5332, 0.0000, 0.1846], [0.7742, 0.0000, 0.6757], [0.0492, 0.0000, 0.6112], [0.1108, 0.5000, 0.7437], [0.2042, 0.2969, 0.4205], [0.2042, 0.7031, 0.4205], [0.2081, 0.3022, 0.9582], [0.2081, 0.6978, 0.9582], [0.2372, 0.0000, 0.1642], [0.2365, 0.5000, 0.2072], [0.5991, 0.1938, 0.6151], [0.5991, 0.8062, 0.6151], [0.6089, 0.0000, 0.3320], [0.6327, 0.5000, 0.3577], [0.6765, 0.2000, 0.1160], [0.6765, 0.8000, 0.1160], [0.7617, 0.5000, 0.9149], [0.8002, 0.0000, 0.8211]]
}

=====

[2]
{
  "formula": "Sc2MoPt",
  "functional": "PBEsol",
  "state": "optimized geometry",
  "spacegroup": "No. 166",
  "density_g_cm3": 9.00,
  "e_tot_ev_per_atom": -8.14,
  "dos_ef_per_ev_cell": 4.88,
  "e_form_kj_per_mol_atoms": -14,
  "lattice_angstrom": [[1.5094, 0.8714, 8.9066], [-1.5094, 0.8714, 8.9066], [0.0000, -1.7429, 8.9066]],
  "species": ["Sc", "Sc", "Mo", "Pt"],
  "frac_coords": [[0.2484, 0.2484, 0.2484], [0.7516, 0.7516, 0.7516], [0.0000, 0.0000, 0.0000], [0.5000, 0.5000, 0.5000]]
}

=====

[3]
{
  "formula": "KNb5O13",
  "functional": "PBEsol",
  "state": "optimized geometry",
  "spacegroup": "No. 57",
  "density_g_cm3": 4.50,
  "e_tot_ev_per_atom": -9.02,
  "raw_formation_energy_kj_per_mol_fu": -4613,
  "dos_ef_per_ev_cell": 0.00,
  "lattice_angstrom": [[5.7155, 0.0000, 0.0000], [0.0000, 10.8344, 0.0000], [0.0000, 0.0000, 16.9552]],
  "species": ["K", "K", "K", "K", "Nb", "Nb", "Nb", "Nb", "Nb", "Nb", "Nb", "Nb", "Nb", "Nb", "Nb", "Nb", "Nb", "Nb", "Nb", "Nb", "Nb", "Nb", "Nb", "Nb", "O", "O", "O", "O", "O", "O", "O", "O", "O", "O", "O", "O", "O", "O", "O", "O", "O", "O", "O", "O", "O", "O", "O", "O", "O", "O", "O", "O", "O", "O", "O", "O", "O", "O", "O", "O", "O", "O", "O", "O", "O", "O", "O", "O", "O", "O", "O", "O", "O", "O", "O", "O"],
  "frac_coords": [[0.2098, 0.1733, 0.2500], [0.2098, 0.3267, 0.7500], [0.7902, 0.6733, 0.2500], [0.7902, 0.8267, 0.7500], [0.1632, 0.5662, 0.0759], [0.1632, 0.5662, 0.4241], [0.1632, 0.9338, 0.5759], [0.1632, 0.9338, 0.9241], [0.3269, 0.2500, 0.0000], [0.3269, 0.2500, 0.5000], [0.3444, 0.6329, 0.6369], [0.3444, 0.6329, 0.8631], [0.3444, 0.8671, 0.1369], [0.3444, 0.8671, 0.3631], [0.6556, 0.1329, 0.6369], [0.6556, 0.1329, 0.8631], [0.6556, 0.3671, 0.1369], [0.6556, 0.3671, 0.3631], [0.6731, 0.7500, 0.0000], [0.6731, 0.7500, 0.5000], [0.8368, 0.0662, 0.0759], [0.8368, 0.0662, 0.4241], [0.8368, 0.4338, 0.5759], [0.8368, 0.4338, 0.9241], [0.0942, 0.5153, 0.6354], [0.0942, 0.5153, 0.8646], [0.0942, 0.9847, 0.1354], [0.0942, 0.9847, 0.3646], [0.1278, 0.7190, 0.1273], [0.1278, 0.7190, 0.3727], [0.1278, 0.7810, 0.6273], [0.1278, 0.7810, 0.8727], [0.1287, 0.1063, 0.5044], [0.1287, 0.1063, 0.9956], [0.1287, 0.3937, 0.0044], [0.1287, 0.3937, 0.4956], [0.3585, 0.6249, 0.5127], [0.3585, 0.6249, 0.9873], [0.3585, 0.8751, 0.0127], [0.3585, 0.8751, 0.4873], [0.3694, 0.6535, 0.7500], [0.3694, 0.8465, 0.2500], [0.4044, 0.0054, 0.6358], [0.4044, 0.0054, 0.8642], [0.4039, 0.2457, 0.1108], [0.4039, 0.2457, 0.3892], [0.4039, 0.2543, 0.6108], [0.4039, 0.2543, 0.8892], [0.4044, 0.4946, 0.1358], [0.4044, 0.4946, 0.3642], [0.5956, 0.5054, 0.6358], [0.5956, 0.5054, 0.8642], [0.5961, 0.7457, 0.1108], [0.5961, 0.7457, 0.3892], [0.5961, 0.7543, 0.6108], [0.5961, 0.7543, 0.8892], [0.5956, 0.9946, 0.1358], [0.5956, 0.9946, 0.3642], [0.6306, 0.1535, 0.7500], [0.6306, 0.3465, 0.2500], [0.6415, 0.1249, 0.5127], [0.6415, 0.1249, 0.9873], [0.6415, 0.3751, 0.0127], [0.6415, 0.3751, 0.4873], [0.8713, 0.6063, 0.5044], [0.8713, 0.6063, 0.9956], [0.8713, 0.8937, 0.0044], [0.8713, 0.8937, 0.4956], [0.8722, 0.2190, 0.1273], [0.8722, 0.2190, 0.3727], [0.8722, 0.2810, 0.6273], [0.8722, 0.2810, 0.8727], [0.9058, 0.0153, 0.6354], [0.9058, 0.0153, 0.8646], [0.9058, 0.4847, 0.1354], [0.9058, 0.4847, 0.3646]]
}

=====

[4]
{
  "formula": "Be2ZnSi",
  "functional": "PBEsol",
  "state": "optimized geometry",
  "spacegroup": "No. 123",
  "density_g_cm3": 4.08,
  "e_above_lowest_polymorph_mev_per_atom": 0,
  "e_tot_ev_per_atom": -3.55,
  "raw_formation_energy_kj_per_mol_fu": 109,
  "dos_ef_per_ev_cell": 1.10,
  "lattice_angstrom": [[3.6028, 0.0000, 0.0000], [0.0000, 3.6028, 0.0000], [0.0000, 0.0000, 3.4961]],
  "species": ["Be", "Be", "Zn", "Si"],
  "frac_coords": [[0.0000, 0.5000, 0.0000], [0.5000, 0.0000, 0.0000], [0.0000, 0.0000, 0.5000], [0.5000, 0.5000, 0.5000]]
}

=====

[5]
{
  "formula": "Ba2SbRu",
  "functional": "PBEsol",
  "state": "optimized geometry",
  "spacegroup": "No. 123",
  "density_g_cm3": 7.23,
  "e_tot_ev_per_atom": -4.61,
  "raw_formation_energy_kj_per_mol_fu": 57,
  "dos_ef_per_ev_cell": 5.58,
  "lattice_angstrom": [[4.9158, 0.0000, 0.0000], [0.0000, 4.9158, 0.0000], [0.0000, 0.0000, 4.7256]],
  "species": ["Ba", "Ba", "Sb", "Ru"],
  "frac_coords": [[0.0000, 0.5000, 0.0000], [0.5000, 0.0000, 0.0000], [0.0000, 0.0000, 0.5000], [0.5000, 0.5000, 0.5000]]
}

=====

[6]
{
  "formula": "HgSbPb",
  "functional": "PBEsol",
  "state": "optimized geometry",
  "spacegroup": "No. 216",
  "density_g_cm3": 9.36,
  "e_above_lowest_polymorph_mev_per_atom": 50,
  "e_tot_ev_per_atom": -2.93,
  "raw_formation_energy_kj_per_mol_fu": 32,
  "dos_ef_per_ev_cell": 2.21,
  "lattice_angstrom": [[0.0000, 3.6085, 3.6085], [3.6085, 0.0000, 3.6085], [3.6085, 3.6085, 0.0000]],
  "species": ["Hg", "Sb", "Pb"],
  "frac_coords": [[0.0000, 0.0000, 0.0000], [0.7500, 0.7500, 0.7500], [0.5000, 0.5000, 0.5000]]
}

=====

[7]
{
  "formula": "Zr2Zn3Ga3",
  "functional": "PBEsol",
  "state": "optimized geometry",
  "spacegroup": "No. 47",
  "density_g_cm3": 7.60,
  "e_tot_ev_per_atom": -4.64,
  "dos_ef_per_ev_cell": 2.11,
  "e_form_kj_per_mol_atoms": -50,
  "lattice_angstrom": [[3.9632, 0.0000, 0.0000], [0.0000, 4.0021, 0.0000], [0.0000, 0.0000, 8.0965]],
  "species": ["Zr", "Zr", "Zn", "Zn", "Zn", "Ga", "Ga", "Ga"],
  "frac_coords": [[0.0000, 0.0000, 0.2459], [0.0000, 0.0000, 0.7541], [0.0000, 0.5000, 0.0000], [0.0000, 0.5000, 0.5000], [0.5000, 0.0000, 0.5000], [0.5000, 0.0000, 0.0000], [0.5000, 0.5000, 0.2591], [0.5000, 0.5000, 0.7409]]
}

=====

[8]
{
  "formula": "BeAuCl2",
  "functional": "PBEsol",
  "state": "optimized geometry",
  "spacegroup": "No. 216",
  "density_g_cm3": 6.84,
  "e_above_lowest_polymorph_mev_per_atom": 1101,
  "e_tot_ev_per_atom": -2.48,
  "raw_formation_energy_kj_per_mol_fu": 196,
  "dos_ef_per_ev_cell": 3.42,
  "lattice_angstrom": [[0.0000, 3.2279, 3.2279], [3.2279, 0.0000, 3.2279], [3.2279, 3.2279, 0.0000]],
  "species": ["Be", "Au", "Cl", "Cl"],
  "frac_coords": [[0.0000, 0.0000, 0.0000], [0.7500, 0.7500, 0.7500], [0.2500, 0.2500, 0.2500], [0.5000, 0.5000, 0.5000]]
}